Record 1
Below is a geometry-optimized NiMoIr structure, with properties calculated at the GGA-PBE level.

Geometry as POSCAR:
```
NiMoIr
1.0
5.828 0.000 0.000
0.000 5.828 0.000
0.000 0.000 5.828
Ni Mo Ir
4 4 4
Cartesian
0.000 0.000 0.000 Ni
0.000 2.914 2.914 Ni
2.914 0.000 2.914 Ni
2.914 2.914 0.000 Ni
1.457 1.457 4.371 Mo
1.457 4.371 1.457 Mo
4.371 1.457 1.457 Mo
4.371 4.371 4.371 Mo
0.000 0.000 2.914 Ir
0.000 2.914 0.000 Ir
2.914 0.000 0.000 Ir
2.914 2.914 2.914 Ir
```

* Fermi-level density of states: 1.041 states/eV per atom
* E_form: 0.382 eV/atom
* space-group type: F-43m
* energy above the lowest structure with this stoichiometry: 606 meV per atom



Record 2
Below is a geometry-optimized Rb2NbCoCl6 structure, with properties calculated at the GGA-PBE level.

Geometry as POSCAR:
```
Rb2NbCoCl6
1.0
-3.559 3.559 5.028
3.559 -3.559 5.028
3.559 3.559 -5.028
Rb Nb Co Cl
2 1 1 6
Cartesian
3.559 0.000 2.514 Rb
0.000 3.559 2.514 Rb
0.000 0.000 0.000 Nb
0.000 0.000 5.028 Co
1.790 1.790 0.000 Cl
1.769 -1.769 5.028 Cl
0.000 0.000 2.532 Cl
0.000 0.000 7.524 Cl
-1.769 1.769 5.028 Cl
1.769 1.769 5.028 Cl
```

* Fermi-level density of states: 1.626 states/eV per atom
* formation energy without anion corrections: -1.20 eV per atom
* space-group type: I4/mmm



Record 3
Below is a geometry-optimized LiCr3Br structure, with properties calculated at the GGA-PBE level.

Geometry as POSCAR:
```
LiCr3Br
1.0
4.383 0.000 0.000
0.000 4.383 0.000
0.000 0.000 4.383
Li Cr Br
1 3 1
Cartesian
0.000 0.000 0.000 Li
0.000 2.192 2.192 Cr
2.192 0.000 2.192 Cr
2.192 2.192 0.000 Cr
2.192 2.192 2.192 Br
```

* Fermi-level density of states: 0.773 states/eV per atom
* formation energy without anion corrections: 1.47 eV per atom
* space-group type: Pm-3m
* energy above the lowest structure with this stoichiometry: 122 meV per atom



Record 4
Below is a geometry-optimized PmSm8Dy2 structure, with properties calculated at the GGA-PBE level.

Geometry as POSCAR:
```
PmSm8Dy2
1.0
6.252 0.000 0.000
-1.041 6.174 0.000
-0.004 -1.067 9.508
Pm Sm Dy
1 8 2
Cartesian
0.000 0.000 0.000 Pm
0.002 3.179 1.734 Sm
1.038 0.169 3.463 Sm
1.045 3.346 5.184 Sm
2.081 3.520 8.643 Sm
3.126 1.588 0.865 Sm
4.162 1.761 4.324 Sm
4.169 4.938 6.045 Sm
5.205 1.929 7.774 Sm
2.084 0.346 6.912 Dy
3.123 4.761 2.596 Dy
```

* Fermi-level density of states: 1.492 states/eV per atom
* E_form: 0.015 eV/atom
* space-group type: P-1
* energy above the lowest structure with this stoichiometry: 0 meV per atom



Record 5
Below is a geometry-optimized Al2AsO6 structure, with properties calculated at the GGA-PBE level.

Geometry as POSCAR:
```
Al2AsO6
1.0
4.421 0.000 0.000
0.000 4.421 0.000
0.000 0.000 8.578
Al As O
4 2 12
Cartesian
0.000 0.000 1.423 Al
0.000 0.000 7.154 Al
2.210 2.210 2.865 Al
2.210 2.210 5.712 Al
0.000 0.000 4.289 As
2.210 2.210 0.000 As
0.856 0.856 2.892 O
0.856 0.856 5.686 O
0.889 0.889 0.000 O
1.321 3.100 4.289 O
1.354 3.066 1.397 O
1.354 3.066 7.181 O
3.066 1.354 1.397 O
3.066 1.354 7.181 O
3.100 1.321 4.289 O
3.531 3.531 0.000 O
3.565 3.565 2.892 O
3.565 3.565 5.686 O
```

* Fermi-level density of states: 0.527 states/eV per atom
* formation energy without anion corrections: -2.06 eV per atom
* space-group type: P4_2/mnm
* energy above the lowest structure with this stoichiometry: 0 meV per atom



Record 6
Below is a geometry-optimized BaIrCl2 structure, with properties calculated at the GGA-PBE level.

Geometry as POSCAR:
```
BaIrCl2
1.0
4.561 0.000 0.000
0.000 4.360 0.000
-2.263 0.000 5.582
Ba Ir Cl
1 1 2
Cartesian
0.000 0.000 0.000 Ba
2.281 2.180 1.437 Ir
0.014 2.180 4.590 Cl
2.283 0.000 2.221 Cl
```

* Fermi-level density of states: 0.638 states/eV per atom
* formation energy without anion corrections: -0.73 eV per atom
* space-group type: Pm
* energy above the lowest structure with this stoichiometry: 89 meV per atom



no.,calculated volume (Å³ per cell)
1,197.9
2,254.7
3,84.2
4,367.0
5,167.6
6,111.0